Model i:
## AcInSn4 (GGA-PBE)

Data for a relaxed AcInSn4 crystal.

```
AcInSn4
1.0
-2.132 -3.644 1.826
0.511 -5.378 -4.343
3.352 -1.992 5.731
Sn In Ac
4 1 1
direct
0.288 0.046 0.378 Sn
0.288 0.378 0.046 Sn
0.712 0.622 0.954 Sn
0.712 0.954 0.622 Sn
0.000 0.000 0.000 In
0.500 0.500 0.500 Ac
```

Values from the calculation:
The space group is No. 71.

Model ii:
## AcInSn4 (GGA-PBE)

Data for a relaxed AcInSn4 crystal.

```
AcInSn4
1.0
6.319 0.000 0.000
3.159 5.472 0.000
3.159 1.824 5.159
Ac Sn In
1 4 1
direct
0.250 0.250 0.250 Ac
0.625 0.625 0.124 Sn
0.625 0.625 0.625 Sn
0.625 0.124 0.625 Sn
0.124 0.625 0.625 Sn
0.000 0.000 0.000 In
```

Values from the calculation:
The space group is No. 216.

Least stable structure: model ii

Model i:
## AcIn3Sn3 (GGA-PBE)

Data for a relaxed AcIn3Sn3 crystal.

```
AcIn3Sn3
1.0
-6.451 -4.092 -0.923
2.865 -5.415 4.657
-2.903 3.308 5.631
In Sn Ac
6 6 2
direct
0.763 0.763 0.500 In
0.348 0.652 0.500 In
0.244 0.756 0.000 In
0.237 0.237 0.500 In
0.652 0.348 0.500 In
0.756 0.244 0.000 In
0.000 0.500 0.716 Sn
0.000 0.000 0.253 Sn
0.000 0.000 0.747 Sn
0.500 0.000 0.716 Sn
0.000 0.500 0.284 Sn
0.500 0.000 0.284 Sn
0.287 0.287 0.000 Ac
0.713 0.713 0.000 Ac
```

Values from the calculation:
The space group is No. 65.

Model ii:
## AcIn3Sn3 (GGA-PBE)

Data for a relaxed AcIn3Sn3 crystal.

```
AcIn3Sn3
1.0
8.005 0.000 0.000
0.000 8.005 0.000
0.000 0.000 8.005
Sn In Ac
6 6 2
direct
0.250 0.000 0.500 Sn
0.500 0.750 0.000 Sn
0.750 0.000 0.500 Sn
0.500 0.250 0.000 Sn
0.000 0.500 0.250 Sn
0.000 0.500 0.750 Sn
0.000 0.250 0.500 In
0.500 0.000 0.750 In
0.500 0.000 0.250 In
0.750 0.500 0.000 In
0.000 0.750 0.500 In
0.250 0.500 0.000 In
0.500 0.500 0.500 Ac
0.000 0.000 0.000 Ac
```

Values from the calculation:
The space group is No. 223.

Model iii:
## AcIn3Sn3 (GGA-PBE)

Data for a relaxed AcIn3Sn3 crystal.

```
AcIn3Sn3
1.0
4.480 0.000 0.000
0.000 10.554 0.000
0.000 -5.277 9.140
Ac In Sn
2 6 6
direct
0.250 0.667 0.333 Ac
0.750 0.333 0.667 Ac
0.250 0.048 0.247 In
0.250 0.753 0.801 In
0.750 0.801 0.048 In
0.750 0.247 0.199 In
0.750 0.952 0.753 In
0.250 0.199 0.952 In
0.250 0.051 0.609 Sn
0.750 0.949 0.391 Sn
0.750 0.442 0.051 Sn
0.750 0.609 0.558 Sn
0.250 0.558 0.949 Sn
0.250 0.391 0.442 Sn
```

Values from the calculation:
The space group is No. 176.

Least stable structure: model ii

Model i:
## Ac3In2Sn (GGA-PBE)

Data for a relaxed Ac3In2Sn crystal.

```
Ac3In2Sn
1.0
4.864 0.000 0.000
0.000 13.260 0.000
0.000 0.000 13.654
In Sn Ac
8 4 12
direct
0.750 0.009 0.691 In
0.250 0.509 0.809 In
0.750 0.306 0.513 In
0.250 0.991 0.309 In
0.750 0.491 0.191 In
0.750 0.194 0.013 In
0.250 0.694 0.487 In
0.250 0.806 0.987 In
0.250 0.369 0.631 Sn
0.750 0.869 0.869 Sn
0.750 0.631 0.369 Sn
0.250 0.131 0.131 Sn
0.250 0.059 0.878 Ac
0.750 0.941 0.122 Ac
0.750 0.300 0.790 Ac
0.250 0.381 0.055 Ac
0.750 0.881 0.445 Ac
0.250 0.119 0.555 Ac
0.750 0.200 0.290 Ac
0.250 0.700 0.210 Ac
0.750 0.559 0.622 Ac
0.250 0.800 0.710 Ac
0.250 0.441 0.378 Ac
0.750 0.619 0.945 Ac
```

Values from the calculation:
The space group is No. 62.

Model ii:
## Ac3In2Sn (GGA-PBE)

Data for a relaxed Ac3In2Sn crystal.

```
Ac3In2Sn
1.0
-6.916 0.303 0.901
-0.818 -5.265 -4.506
4.281 -4.208 7.228
In Ac Sn
4 6 2
direct
0.543 0.540 0.323 In
0.219 0.960 0.677 In
0.457 0.460 0.677 In
0.781 0.040 0.323 In
0.648 0.250 0.000 Ac
0.712 0.896 0.658 Ac
0.352 0.750 0.000 Ac
0.946 0.396 0.658 Ac
0.054 0.604 0.342 Ac
0.288 0.104 0.342 Ac
0.152 0.250 0.000 Sn
0.848 0.750 0.000 Sn
```

Values from the calculation:
The space group is No. 15.

Least stable structure: model ii

Model i:
## Ac3In2Sn3 (GGA-PBE)

Data for a relaxed Ac3In2Sn3 crystal.

```
Ac3In2Sn3
1.0
-0.049 5.151 0.878
-1.519 -3.570 5.309
15.893 -0.560 4.169
Ac In Sn
6 4 6
direct
0.551 0.103 0.750 Ac
0.354 0.707 0.533 Ac
0.354 0.707 0.967 Ac
0.449 0.897 0.250 Ac
0.646 0.293 0.467 Ac
0.646 0.293 0.033 Ac
0.175 0.351 0.159 In
0.825 0.649 0.841 In
0.175 0.351 0.341 In
0.825 0.649 0.659 In
0.264 0.528 0.750 Sn
0.944 0.887 0.089 Sn
0.944 0.887 0.411 Sn
0.736 0.472 0.250 Sn
0.056 0.113 0.589 Sn
0.056 0.113 0.911 Sn
```

Values from the calculation:
The space group is No. 63.

Model ii:
## Ac3In2Sn3 (GGA-PBE)

Data for a relaxed Ac3In2Sn3 crystal.

```
Ac3In2Sn3
1.0
5.090 0.000 0.000
0.000 4.659 0.000
-2.545 -2.329 10.997
Sn Ac In
3 3 2
direct
0.886 0.886 0.771 Sn
0.000 0.500 0.000 Sn
0.114 0.114 0.229 Sn
0.362 0.362 0.725 Ac
0.638 0.638 0.275 Ac
0.500 0.000 0.000 Ac
0.240 0.740 0.480 In
0.760 0.260 0.520 In
```

Values from the calculation:
The space group is No. 71.

Least stable structure: model ii

Model i:
## Ac3InSn2 (GGA-PBE)

Data for a relaxed Ac3InSn2 crystal.

```
Ac3InSn2
1.0
8.458 0.480 0.374
3.188 7.849 0.374
3.188 2.280 7.520
Ac Sn In
6 4 2
direct
0.750 0.419 0.081 Ac
0.919 0.250 0.581 Ac
0.581 0.919 0.250 Ac
0.250 0.581 0.919 Ac
0.419 0.081 0.750 Ac
0.081 0.750 0.419 Ac
0.666 0.666 0.666 Sn
0.334 0.334 0.334 Sn
0.166 0.166 0.166 Sn
0.834 0.834 0.834 Sn
0.000 0.000 0.000 In
0.500 0.500 0.500 In
```

Values from the calculation:
The space group is No. 167.

Model ii:
## Ac3InSn2 (GGA-PBE)

Data for a relaxed Ac3InSn2 crystal.

```
Ac3InSn2
1.0
4.863 0.000 0.000
0.000 13.193 0.000
0.000 0.000 13.482
Sn In Ac
8 4 12
direct
0.250 0.685 0.488 Sn
0.250 0.508 0.813 Sn
0.250 0.992 0.313 Sn
0.750 0.492 0.187 Sn
0.750 0.008 0.687 Sn
0.750 0.185 0.012 Sn
0.250 0.815 0.988 Sn
0.750 0.315 0.512 Sn
0.750 0.865 0.866 In
0.750 0.635 0.366 In
0.250 0.365 0.634 In
0.250 0.135 0.134 In
0.250 0.699 0.208 Ac
0.750 0.199 0.292 Ac
0.250 0.380 0.050 Ac
0.250 0.439 0.374 Ac
0.250 0.801 0.708 Ac
0.750 0.939 0.126 Ac
0.750 0.301 0.792 Ac
0.750 0.561 0.626 Ac
0.250 0.120 0.550 Ac
0.750 0.620 0.950 Ac
0.250 0.061 0.874 Ac
0.750 0.880 0.450 Ac
```

Values from the calculation:
The space group is No. 62.

Least stable structure: model i

Model i:
## Ac3InSn3 (GGA-PBE)

Data for a relaxed Ac3InSn3 crystal.

```
Ac3InSn3
1.0
-4.212 -2.469 -0.403
0.907 -5.911 -3.039
1.248 -9.077 12.785
Ac Sn In
6 6 2
direct
0.607 0.709 0.077 Ac
0.267 0.239 0.227 Ac
0.483 0.657 0.377 Ac
0.393 0.291 0.923 Ac
0.517 0.343 0.623 Ac
0.733 0.761 0.773 Ac
0.008 0.207 0.777 Sn
0.884 0.155 0.076 Sn
0.116 0.845 0.924 Sn
0.992 0.793 0.223 Sn
0.866 0.727 0.541 Sn
0.134 0.273 0.459 Sn
0.769 0.082 0.381 In
0.231 0.918 0.619 In
```

Values from the calculation:
The space group is No. 12.

Model ii:
## Ac3InSn3 (GGA-PBE)

Data for a relaxed Ac3InSn3 crystal.

```
Ac3InSn3
1.0
-1.774 1.625 -6.385
1.969 -9.175 -2.882
-9.014 2.343 3.101
Ac Sn In
6 6 2
direct
0.750 0.690 0.628 Ac
0.250 0.310 0.372 Ac
0.750 0.939 0.310 Ac
0.250 0.628 0.939 Ac
0.250 0.061 0.690 Ac
0.750 0.372 0.061 Ac
0.250 0.700 0.642 Sn
0.750 0.642 0.942 Sn
0.750 0.058 0.700 Sn
0.750 0.300 0.358 Sn
0.250 0.358 0.058 Sn
0.250 0.942 0.300 Sn
0.750 0.333 0.667 In
0.250 0.667 0.333 In
```

Values from the calculation:
The space group is No. 176.

Least stable structure: model ii

Model i:
## Ac2In3Sn3 (GGA-PBE)

Data for a relaxed Ac2In3Sn3 crystal.

```
Ac2In3Sn3
1.0
4.998 0.000 0.000
0.000 4.880 0.000
0.000 0.000 9.738
Ac In Sn
2 3 3
direct
0.000 0.000 0.748 Ac
0.000 0.000 0.252 Ac
0.500 0.500 0.245 In
0.500 0.500 0.755 In
0.500 0.000 0.000 In
0.000 0.500 0.500 Sn
0.000 0.500 0.000 Sn
0.500 0.000 0.500 Sn
```

Values from the calculation:
The space group is No. 47.

Model ii:
## Ac2In3Sn3 (GGA-PBE)

Data for a relaxed Ac2In3Sn3 crystal.

```
Ac2In3Sn3
1.0
4.853 0.000 0.000
0.000 4.891 0.000
0.000 0.000 10.008
Sn In Ac
3 3 2
direct
0.500 0.500 0.250 Sn
0.500 0.500 0.750 Sn
0.500 0.000 0.000 Sn
0.500 0.000 0.500 In
0.000 0.500 0.500 In
0.000 0.500 0.000 In
0.000 0.000 0.244 Ac
0.000 0.000 0.756 Ac
```

Values from the calculation:
The space group is No. 47.

Least stable structure: model i

Model i:
## AcIn2Sn2 (GGA-PBE)

Data for a relaxed AcIn2Sn2 crystal.

```
AcIn2Sn2
1.0
-4.305 -0.044 -2.227
-1.938 -2.277 3.791
-0.649 11.059 6.310
In Sn Ac
4 4 2
direct
0.542 0.250 0.084 In
0.955 0.250 0.910 In
0.458 0.750 0.916 In
0.045 0.750 0.090 In
0.856 0.750 0.711 Sn
0.144 0.250 0.289 Sn
0.750 0.250 0.501 Sn
0.250 0.750 0.499 Sn
0.646 0.750 0.292 Ac
0.354 0.250 0.708 Ac
```

Values from the calculation:
The space group is No. 63.

Model ii:
## AcIn2Sn2 (GGA-PBE)

Data for a relaxed AcIn2Sn2 crystal.

```
AcIn2Sn2
1.0
4.958 0.000 1.617
2.473 6.404 0.827
1.087 -1.078 5.077
In Sn Ac
2 2 1
direct
0.594 0.610 0.201 In
0.406 0.390 0.799 In
0.843 0.735 0.578 Sn
0.157 0.265 0.422 Sn
0.000 0.000 0.000 Ac
```

Values from the calculation:
The space group is No. 12.

Least stable structure: model ii